[1]
Entry from Alexandria: a geometry-optimized Er19Tm4Sc6 structure (PBE-GGA).

a = 10.521 Å, b = 10.521 Å, c = 10.521 Å
α = 109.47°, β = 109.47°, γ = 109.47°
Sites, in units of the cell vectors:
Er (0.734, 0.000, 0.734)
Er (0.266, 0.000, 0.266)
Er (0.266, 0.266, 0.000)
Er (0.734, 0.734, 0.000)
Er (0.000, 0.734, 0.734)
Er (0.000, 0.266, 0.266)
Er (0.000, 0.000, 0.000)
Er (0.213, 0.221, 0.553)
Er (0.787, 0.340, 0.008)
Er (0.668, 0.660, 0.447)
Er (0.008, 0.787, 0.340)
Er (0.332, 0.779, 0.992)
Er (0.553, 0.213, 0.221)
Er (0.992, 0.332, 0.779)
Er (0.447, 0.668, 0.660)
Er (0.779, 0.992, 0.332)
Er (0.340, 0.008, 0.787)
Er (0.221, 0.553, 0.213)
Er (0.660, 0.447, 0.668)
Tm (0.000, 0.000, 0.644)
Tm (0.000, 0.644, 0.000)
Tm (0.356, 0.356, 0.356)
Tm (0.644, 0.000, 0.000)
Sc (0.381, 0.500, 0.881)
Sc (0.619, 0.500, 0.119)
Sc (0.119, 0.619, 0.500)
Sc (0.881, 0.381, 0.500)
Sc (0.500, 0.881, 0.381)
Sc (0.500, 0.119, 0.619)

Calculated volume in Å³ per atom: 30.92
Formation enthalpy at 0 K in eV per atom: 0.398


[2]
Entry from Alexandria: a geometry-optimized ErTm4Sc5 structure (PBE-GGA).

a = 6.015 Å, b = 7.459 Å, c = 7.459 Å
α = 80.64°, β = 66.22°, γ = 66.22°
Sites, in units of the cell vectors:
Er (0.228, 0.000, 0.000)
Tm (0.404, 0.390, 0.706)
Tm (0.794, 0.706, 0.610)
Tm (0.110, 0.294, 0.390)
Tm (0.500, 0.610, 0.294)
Sc (0.803, 0.371, 0.915)
Sc (0.175, 0.915, 0.629)
Sc (0.718, 0.085, 0.371)
Sc (0.089, 0.629, 0.085)
Sc (0.690, 0.000, 0.000)

Calculated volume in Å³ per atom: 28.03
Formation enthalpy at 0 K in eV per atom: 0.303
Relative energy among the computed polymorphs in eV per formula unit: 0.42


[3]
Entry from Alexandria: a geometry-optimized Er5Tm2Sc5 structure (PBE-GGA).

a = 4.799 Å, b = 7.598 Å, c = 10.777 Å
α = 115.05°, β = 90.00°, γ = 108.41°
Sites, in units of the cell vectors:
Er (0.500, 0.000, 0.500)
Er (0.665, 0.330, 0.999)
Er (0.587, 0.174, 0.252)
Er (0.413, 0.826, 0.748)
Er (0.335, 0.670, 0.001)
Tm (0.083, 0.167, 0.747)
Tm (0.917, 0.833, 0.253)
Sc (0.171, 0.341, 0.501)
Sc (0.750, 0.500, 0.747)
Sc (0.250, 0.500, 0.253)
Sc (0.829, 0.659, 0.499)
Sc (0.000, 0.000, 0.000)

Calculated volume in Å³ per atom: 27.81
Formation enthalpy at 0 K in eV per atom: 0.050
Relative energy among the computed polymorphs in eV per formula unit: 0.00


[4]
Entry from Alexandria: a geometry-optimized Er6TmSc12 structure (PBE-GGA).

a = 8.125 Å, b = 8.125 Å, c = 8.125 Å
α = 79.31°, β = 79.31°, γ = 79.31°
Sites, in units of the cell vectors:
Er (0.760, 0.760, 0.164)
Er (0.836, 0.240, 0.240)
Er (0.240, 0.836, 0.240)
Er (0.240, 0.240, 0.836)
Er (0.164, 0.760, 0.760)
Er (0.760, 0.164, 0.760)
Tm (0.000, 0.000, 0.000)
Sc (0.807, 0.493, 0.493)
Sc (0.493, 0.807, 0.493)
Sc (0.493, 0.493, 0.807)
Sc (0.193, 0.507, 0.507)
Sc (0.507, 0.193, 0.507)
Sc (0.507, 0.507, 0.193)
Sc (0.137, 0.137, 0.488)
Sc (0.863, 0.512, 0.863)
Sc (0.512, 0.863, 0.863)
Sc (0.863, 0.863, 0.512)
Sc (0.137, 0.488, 0.137)
Sc (0.488, 0.137, 0.137)

Calculated volume in Å³ per atom: 26.92
Formation enthalpy at 0 K in eV per atom: 0.156


[5]
Entry from Alexandria: a geometry-optimized ErTm8Sc3 structure (PBE-GGA).

a = 7.426 Å, b = 7.426 Å, c = 9.106 Å
α = 114.06°, β = 114.06°, γ = 90.00°
Sites, in units of the cell vectors:
Er (0.000, 0.000, 0.000)
Tm (0.874, 0.381, 0.254)
Tm (0.381, 0.381, 0.254)
Tm (0.126, 0.126, 0.746)
Tm (0.619, 0.126, 0.746)
Tm (0.381, 0.874, 0.254)
Tm (0.874, 0.874, 0.254)
Tm (0.619, 0.619, 0.746)
Tm (0.126, 0.619, 0.746)
Sc (0.250, 0.750, 0.500)
Sc (0.500, 0.500, 0.000)
Sc (0.750, 0.250, 0.500)

Calculated volume in Å³ per atom: 34.19
Formation enthalpy at 0 K in eV per atom: 0.702


[6]
Entry from Alexandria: a geometry-optimized ErTm5Sc5 structure (PBE-GGA).

a = 5.747 Å, b = 5.747 Å, c = 11.116 Å
α = 90.00°, β = 90.00°, γ = 120.00°
Sites, in units of the cell vectors:
Er (0.333, 0.667, 0.000)
Tm (0.667, 0.333, 0.161)
Tm (0.667, 0.333, 0.839)
Tm (0.333, 0.667, 0.319)
Tm (0.333, 0.667, 0.681)
Tm (0.000, 0.000, 0.000)
Sc (0.330, 0.165, 0.500)
Sc (0.000, 0.000, 0.268)
Sc (0.835, 0.670, 0.500)
Sc (0.835, 0.165, 0.500)
Sc (0.000, 0.000, 0.732)

Calculated volume in Å³ per atom: 28.91
Formation enthalpy at 0 K in eV per atom: 0.252


[7]
Entry from Alexandria: a geometry-optimized Er4Tm2Sc5 structure (PBE-GGA).

a = 5.392 Å, b = 6.303 Å, c = 9.419 Å
α = 90.33°, β = 106.63°, γ = 90.00°
Sites, in units of the cell vectors:
Er (0.311, 0.921, 0.623)
Er (0.962, 0.740, 0.925)
Er (0.689, 0.079, 0.377)
Er (0.038, 0.260, 0.075)
Tm (0.402, 0.435, 0.803)
Tm (0.598, 0.565, 0.197)
Sc (0.784, 0.604, 0.568)
Sc (0.216, 0.396, 0.432)
Sc (0.866, 0.157, 0.731)
Sc (0.500, 0.000, 0.000)
Sc (0.134, 0.843, 0.269)

Calculated volume in Å³ per atom: 27.88
Formation enthalpy at 0 K in eV per atom: 0.102
Relative energy among the computed polymorphs in eV per formula unit: 0.00


[8]
Entry from Alexandria: a geometry-optimized ErTm7Sc4 structure (PBE-GGA).

a = 6.884 Å, b = 5.963 Å, c = 10.902 Å
α = 79.48°, β = 50.88°, γ = 90.03°
Sites, in units of the cell vectors:
Er (0.000, 0.000, 0.000)
Tm (0.743, 0.503, 0.004)
Tm (0.257, 0.497, 0.996)
Tm (0.084, 0.282, 0.661)
Tm (0.916, 0.718, 0.339)
Tm (0.337, 0.777, 0.664)
Tm (0.500, 0.000, 0.000)
Tm (0.663, 0.223, 0.336)
Sc (0.408, 0.724, 0.338)
Sc (0.592, 0.276, 0.662)
Sc (0.839, 0.782, 0.661)
Sc (0.161, 0.218, 0.339)

Calculated volume in Å³ per atom: 28.12
Formation enthalpy at 0 K in eV per atom: 0.018
Relative energy among the computed polymorphs in eV per formula unit: 0.00


[9]
Entry from Alexandria: a geometry-optimized Er3Tm7Sc structure (PBE-GGA).

a = 8.416 Å, b = 6.890 Å, c = 6.890 Å
α = 120.00°, β = 90.00°, γ = 90.00°
Sites, in units of the cell vectors:
Er (0.781, 0.499, 0.501)
Er (0.781, 0.499, 0.998)
Er (0.781, 0.002, 0.501)
Tm (0.121, 0.168, 0.832)
Tm (0.121, 0.168, 0.337)
Tm (0.119, 0.667, 0.333)
Tm (0.448, 0.832, 0.168)
Tm (0.448, 0.336, 0.168)
Tm (0.448, 0.832, 0.664)
Tm (0.121, 0.663, 0.832)
Sc (0.446, 0.333, 0.667)

Calculated volume in Å³ per atom: 31.45
Formation enthalpy at 0 K in eV per atom: 0.201
Relative energy among the computed polymorphs in eV per formula unit: 0.38


[10]
Entry from Alexandria: a geometry-optimized Er8TmSc2 structure (PBE-GGA).

a = 6.350 Å, b = 9.057 Å, c = 9.057 Å
α = 42.55°, β = 71.28°, γ = 71.28°
Sites, in units of the cell vectors:
Er (0.301, 0.344, 0.861)
Er (0.699, 0.139, 0.656)
Er (0.327, 0.789, 0.789)
Er (0.673, 0.211, 0.211)
Er (0.301, 0.861, 0.344)
Er (0.699, 0.656, 0.139)
Er (0.757, 0.566, 0.566)
Er (0.243, 0.434, 0.434)
Tm (0.000, 0.000, 0.000)
Sc (0.897, 0.723, 0.723)
Sc (0.103, 0.277, 0.277)

Calculated volume in Å³ per atom: 30.07
Formation enthalpy at 0 K in eV per atom: 0.199
Relative energy among the computed polymorphs in eV per formula unit: 0.25


[11]
Entry from Alexandria: a geometry-optimized Er3TmSc4 structure (PBE-GGA).

a = 3.720 Å, b = 5.427 Å, c = 10.854 Å
α = 90.00°, β = 90.00°, γ = 90.00°
Sites, in units of the cell vectors:
Sc (0.000, 0.000, 0.500)
Sc (0.000, 0.500, 0.751)
Sc (0.000, 0.000, 0.000)
Sc (0.000, 0.500, 0.249)
Tm (0.500, 0.500, 0.000)
Er (0.500, 0.000, 0.250)
Er (0.500, 0.500, 0.500)
Er (0.500, 0.000, 0.750)

Calculated volume in Å³ per atom: 27.40
Formation enthalpy at 0 K in eV per atom: 0.098
Relative energy among the computed polymorphs in eV per formula unit: 0.64


[12]
Entry from Alexandria: a geometry-optimized Er2TmSc3 structure (PBE-GGA).

a = 3.415 Å, b = 5.917 Å, c = 16.408 Å
α = 96.92°, β = 90.00°, γ = 90.00°
Sites, in units of the cell vectors:
Er (0.250, 0.750, 0.500)
Er (0.750, 0.250, 0.500)
Er (0.750, 0.028, 0.834)
Er (0.250, 0.972, 0.166)
Tm (0.250, 0.528, 0.834)
Tm (0.750, 0.472, 0.166)
Sc (0.750, 0.639, 0.668)
Sc (0.250, 0.361, 0.332)
Sc (0.750, 0.860, 0.332)
Sc (0.250, 0.140, 0.668)
Sc (0.250, 0.251, 0.000)
Sc (0.750, 0.749, 0.000)

Calculated volume in Å³ per atom: 27.43
Formation enthalpy at 0 K in eV per atom: 0.047
Relative energy among the computed polymorphs in eV per formula unit: 0.00


[13]
Entry from Alexandria: a geometry-optimized Er2TmSc structure (PBE-GGA).

a = 3.452 Å, b = 3.452 Å, c = 11.348 Å
α = 81.25°, β = 81.25°, γ = 60.00°
Sites, in units of the cell vectors:
Sc (0.000, 0.000, 0.000)
Tm (0.500, 0.500, 0.500)
Er (0.748, 0.748, 0.757)
Er (0.252, 0.252, 0.243)

Calculated volume in Å³ per atom: 28.82
Formation enthalpy at 0 K in eV per atom: 0.045
Relative energy among the computed polymorphs in eV per formula unit: 0.07


[14]
Entry from Alexandria: a geometry-optimized ErTm2Sc5 structure (PBE-GGA).

a = 6.681 Å, b = 6.681 Å, c = 6.681 Å
α = 90.77°, β = 119.56°, γ = 119.56°
Sites, in units of the cell vectors:
Er (0.000, 0.778, 0.778)
Tm (0.500, 0.278, 0.778)
Tm (0.500, 0.778, 0.278)
Sc (0.500, 0.778, 0.778)
Sc (0.000, 0.778, 0.278)
Sc (0.000, 0.278, 0.778)
Sc (0.500, 0.278, 0.278)
Sc (0.000, 0.278, 0.278)

Calculated volume in Å³ per atom: 26.54
Formation enthalpy at 0 K in eV per atom: 0.058
Relative energy among the computed polymorphs in eV per formula unit: 0.34


[15]
Entry from Alexandria: a geometry-optimized ErTm4Sc5 structure (PBE-GGA).

a = 5.281 Å, b = 11.302 Å, c = 7.989 Å
α = 136.46°, β = 109.30°, γ = 90.00°
Sites, in units of the cell vectors:
Er (0.500, 0.000, 0.000)
Tm (0.377, 0.130, 0.755)
Tm (0.119, 0.371, 0.237)
Tm (0.623, 0.870, 0.245)
Tm (0.881, 0.629, 0.763)
Sc (0.849, 0.297, 0.697)
Sc (0.841, 0.890, 0.681)
Sc (0.159, 0.110, 0.319)
Sc (0.500, 0.500, 0.000)
Sc (0.151, 0.703, 0.303)

Calculated volume in Å³ per atom: 28.82
Formation enthalpy at 0 K in eV per atom: 0.261
Relative energy among the computed polymorphs in eV per formula unit: 0.00


[16]
Entry from Alexandria: a geometry-optimized Er2Tm4Sc5 structure (PBE-GGA).

a = 6.322 Å, b = 5.735 Å, c = 11.703 Å
α = 105.65°, β = 126.00°, γ = 62.88°
Sites, in units of the cell vectors:
Er (0.411, 0.521, 0.792)
Er (0.589, 0.479, 0.208)
Tm (0.325, 0.990, 0.633)
Tm (0.987, 0.682, 0.903)
Tm (0.675, 0.010, 0.367)
Tm (0.013, 0.318, 0.097)
Sc (0.765, 0.566, 0.542)
Sc (0.235, 0.434, 0.458)
Sc (0.872, 0.115, 0.713)
Sc (0.500, 0.000, 0.000)
Sc (0.128, 0.885, 0.287)

Calculated volume in Å³ per atom: 27.78
Formation enthalpy at 0 K in eV per atom: 0.088
Relative energy among the computed polymorphs in eV per formula unit: 0.00


[17]
Entry from Alexandria: a geometry-optimized Er14TmSc structure (PBE-GGA).

a = 6.980 Å, b = 6.980 Å, c = 9.854 Å
α = 90.00°, β = 90.00°, γ = 90.00°
Sites, in units of the cell vectors:
Er (0.375, 0.625, 0.500)
Er (0.875, 0.125, 0.500)
Er (0.875, 0.625, 0.000)
Er (0.875, 0.625, 0.500)
Er (0.375, 0.125, 0.000)
Er (0.375, 0.125, 0.500)
Er (0.624, 0.874, 0.752)
Er (0.624, 0.874, 0.248)
Er (0.126, 0.376, 0.752)
Er (0.126, 0.376, 0.248)
Er (0.126, 0.874, 0.752)
Er (0.126, 0.874, 0.248)
Er (0.624, 0.376, 0.752)
Er (0.624, 0.376, 0.248)
Tm (0.875, 0.125, 0.000)
Sc (0.375, 0.625, 0.000)

Calculated volume in Å³ per atom: 30.00
Formation enthalpy at 0 K in eV per atom: 0.026


[18]
Entry from Alexandria: a geometry-optimized Er3Tm2Sc5 structure (PBE-GGA).

a = 8.944 Å, b = 8.929 Å, c = 10.671 Å
α = 126.61°, β = 126.63°, γ = 64.75°
Sites, in units of the cell vectors:
Er (0.230, 0.976, 0.054)
Er (0.770, 0.024, 0.946)
Er (0.619, 0.379, 0.250)
Er (0.381, 0.621, 0.750)
Er (0.130, 0.870, 0.254)
Er (0.870, 0.130, 0.746)
Tm (0.924, 0.673, 0.650)
Tm (0.076, 0.327, 0.350)
Tm (0.320, 0.077, 0.843)
Tm (0.680, 0.923, 0.157)
Sc (0.275, 0.522, 0.949)
Sc (0.725, 0.478, 0.051)
Sc (0.024, 0.773, 0.448)
Sc (0.527, 0.278, 0.453)
Sc (0.976, 0.227, 0.552)
Sc (0.473, 0.722, 0.547)
Sc (0.827, 0.570, 0.849)
Sc (0.173, 0.430, 0.151)
Sc (0.425, 0.176, 0.649)
Sc (0.575, 0.824, 0.351)

Calculated volume in Å³ per atom: 27.28
Formation enthalpy at 0 K in eV per atom: 0.055


[19]
Entry from Alexandria: a geometry-optimized Er3Tm8Sc2 structure (PBE-GGA).

a = 6.579 Å, b = 9.203 Å, c = 9.203 Å
α = 58.31°, β = 62.87°, γ = 62.87°
Sites, in units of the cell vectors:
Er (0.500, 0.000, 0.000)
Er (0.000, 0.171, 0.829)
Er (0.000, 0.829, 0.171)
Tm (0.044, 0.589, 0.589)
Tm (0.956, 0.411, 0.411)
Tm (0.014, 0.191, 0.191)
Tm (0.986, 0.809, 0.809)
Tm (0.548, 0.562, 0.199)
Tm (0.548, 0.199, 0.562)
Tm (0.452, 0.801, 0.438)
Tm (0.452, 0.438, 0.801)
Sc (0.512, 0.205, 0.205)
Sc (0.488, 0.795, 0.795)

Calculated volume in Å³ per atom: 31.11
Formation enthalpy at 0 K in eV per atom: 0.238
Relative energy among the computed polymorphs in eV per formula unit: 0.00


[20]
Entry from Alexandria: a geometry-optimized Er5Tm4Sc4 structure (PBE-GGA).

a = 4.848 Å, b = 9.062 Å, c = 9.062 Å
α = 85.90°, β = 74.48°, γ = 74.48°
Sites, in units of the cell vectors:
Er (0.692, 0.849, 0.766)
Er (0.308, 0.151, 0.234)
Er (0.000, 0.000, 0.000)
Er (0.541, 0.766, 0.151)
Er (0.459, 0.234, 0.849)
Tm (0.922, 0.461, 0.696)
Tm (0.618, 0.304, 0.461)
Tm (0.078, 0.539, 0.304)
Tm (0.382, 0.696, 0.539)
Sc (0.768, 0.387, 0.077)
Sc (0.232, 0.613, 0.923)
Sc (0.845, 0.923, 0.387)
Sc (0.155, 0.077, 0.613)

Calculated volume in Å³ per atom: 28.43
Formation enthalpy at 0 K in eV per atom: 0.045


Number 1: total magnetization 2.77 Bohr magnetons per cell, density of states at the Fermi level 41.21 states/eV/cell. Number 2: total magnetization 0.04 Bohr magnetons per cell, density of states at the Fermi level 15.66 states/eV/cell. Number 3: total magnetization 0.00 Bohr magnetons per cell, density of states at the Fermi level 18.22 states/eV/cell. Number 4: total magnetization 0.00 Bohr magnetons per cell, density of states at the Fermi level 26.94 states/eV/cell. Number 5: total magnetization 0.00 Bohr magnetons per cell, density of states at the Fermi level 13.61 states/eV/cell. Number 6: total magnetization 2.36 Bohr magnetons per cell, density of states at the Fermi level 22.30 states/eV/cell. Number 7: total magnetization 0.00 Bohr magnetons per cell, density of states at the Fermi level 21.25 states/eV/cell. Number 8: total magnetization 0.00 Bohr magnetons per cell, density of states at the Fermi level 18.06 states/eV/cell. Number 9: total magnetization 0.00 Bohr magnetons per cell, density of states at the Fermi level 17.64 states/eV/cell. Number 10: total magnetization 0.00 Bohr magnetons per cell, density of states at the Fermi level 17.17 states/eV/cell. Number 11: total magnetization 0.00 Bohr magnetons per cell, density of states at the Fermi level 13.68 states/eV/cell. Number 12: total magnetization 0.00 Bohr magnetons per cell, density of states at the Fermi level 19.44 states/eV/cell. Number 13: total magnetization 0.00 Bohr magnetons per cell, density of states at the Fermi level 6.57 states/eV/cell. Number 14: total magnetization 0.00 Bohr magnetons per cell, density of states at the Fermi level 15.89 states/eV/cell. Number 15: total magnetization 0.00 Bohr magnetons per cell, density of states at the Fermi level 19.87 states/eV/cell. Number 16: total magnetization 0.01 Bohr magnetons per cell, density of states at the Fermi level 20.41 states/eV/cell. Number 17: total magnetization 0.00 Bohr magnetons per cell, density of states at the Fermi level 19.83 states/eV/cell. Number 18: total magnetization 0.00 Bohr magnetons per cell, density of states at the Fermi level 34.17 states/eV/cell. Number 19: total magnetization 0.00 Bohr magnetons per cell, density of states at the Fermi level 15.67 states/eV/cell. Number 20: total magnetization 0.00 Bohr magnetons per cell, density of states at the Fermi level 20.09 states/eV/cell.